## BaNbSe4 (PBE)

Data for an optimized crystal structure of BaNbSe4.

Summary:
Formation energy without anion corrections, eV per formula unit: -6.0

Lattice parameters (Å, degrees): 8.1992 8.1992 6.2026 105.76 105.76 111.09
Positions (direct):
Ba1 0.1394 0.8606 0.7500
Ba2 0.8606 0.1394 0.2500
Nb1 0.4994 0.5006 0.7500
Nb2 0.5006 0.4994 0.2500
Se1 0.1856 0.3092 0.8234
Se2 0.2493 0.5515 0.4241
Se3 0.3092 0.1856 0.3234
Se4 0.4485 0.7507 0.0759
Se5 0.5515 0.2493 0.9241
Se6 0.6908 0.8144 0.6766
Se7 0.7507 0.4485 0.5759
Se8 0.8144 0.6908 0.1766